1.
Density functional theory data (PBE-GGA) for a geometry-optimized Rb2MgBeBr6 structure.

Computed properties:
The calculation puts the raw formation energy at -29.9 kcal/mol of atoms. As for the calculated total energy: -30.2 eV/cell. For the density of states at the Fermi level, the calculation gives 0.0000 states/eV per atom. The spin magnetization is 0.00 μB per cell.

abc: 7.614 7.614 7.614
angles: 122.63 122.63 85.50
Atoms (fractional coordinates):
Rb: 0.250 0.750 0.500
Rb: 0.750 0.250 0.500
Mg: 0.000 0.000 0.000
Be: 0.500 0.500 0.000
Br: 0.229 0.229 0.000
Br: 0.272 0.272 0.543
Br: 0.272 0.728 0.000
Br: 0.728 0.272 0.000
Br: 0.728 0.728 0.457
Br: 0.771 0.771 0.000

=====

2.
Density functional theory data (PBE-GGA) for a geometry-optimized MgBeSe2Br structure.

Computed properties:
The calculation puts the raw formation energy at -4.2 kcal/mol of atoms. As for the calculated total energy: -14.9 eV/cell. For the density of states at the Fermi level, the calculation gives 0.2639 states/eV per atom. The spin magnetization is 0.00 μB per cell. For the relative energy among the computed polymorphs, the calculation gives 0.000 eV per formula unit.

abc: 4.472 4.472 5.487
angles: 90.00 90.00 90.00
Atoms (fractional coordinates):
Mg: 0.000 0.000 0.000
Be: 0.500 0.500 0.500
Se: 0.000 0.500 0.500
Se: 0.500 0.000 0.500
Br: 0.500 0.500 0.000

=====

3.
Density functional theory data (PBE-GGA) for a geometry-optimized MgBeSe2Br structure.

Computed properties:
The calculation puts the raw formation energy at 14.0 kcal/mol of atoms. As for the calculated total energy: -10.9 eV/cell. For the density of states at the Fermi level, the calculation gives 0.3578 states/eV per atom. The spin magnetization is 0.00 μB per cell. For the relative energy among the computed polymorphs, the calculation gives 3.942 eV per formula unit.

abc: 5.484 5.484 4.263
angles: 90.00 90.00 90.00
Atoms (fractional coordinates):
Mg: 0.000 0.000 0.000
Be: 0.500 0.500 0.000
Se: 0.000 0.500 0.500
Se: 0.500 0.000 0.500
Br: 0.500 0.500 0.500

=====

> spin magnetization of number 2 (MgBeSe2Br)?

0.00 μB per cell

=====

> Look up the raw formation energy of the first one.

-29.9 kcal/mol of atoms

=====

> Which formula does entry 3 have?

MgBeSe2Br